Computed, not measured: AlMo2W after structural relaxation at the GGA-PBE level of DFT.

```
AlMo2W
1.0
-0.1397 2.4359 2.1316
-1.0291 -2.8442 3.1828
4.2643 -0.5398 0.8964
Al Mo W
1 2 1
Direct
0.5000 0.0000 0.5000
0.0000 0.0000 0.0000
0.0000 0.5000 0.5000
0.5000 0.5000 0.0000
```

Summary:
Calculated total energy ... -9.5885 eV/atom
ΔE_f ... 0.00 eV per formula unit
Space-group type ... No. 123
Total magnetic moment ... 0.0 μB/cell



Computed, not measured: Ce2HoAs3 after structural relaxation at the GGA-PBE level of DFT.

```
Ce2HoAs3
1.0
-1.0975 0.3322 4.0181
-2.1112 -5.5226 -0.1201
7.2197 0.4113 -0.2348
As Ce Ho
3 2 1
Direct
0.8362 0.3362 0.1723
0.1638 0.6638 0.8277
0.5000 0.0000 0.5000
0.8327 0.8327 0.1655
0.1673 0.1673 0.8345
0.5000 0.5000 0.5000
```

Summary:
Calculated total energy ... -6.5187 eV/atom
ΔE_f ... -8.72 eV per formula unit
Energy relative to the lowest polymorph listed for this composition ... 0 meV per atom
Space-group type ... No. 71
Total magnetic moment ... 1.4 μB/cell



Computed, not measured: Ag4Ge2Se5 after structural relaxation at the GGA-PBE level of DFT.

```
Ag4Ge2Se5
1.0
-2.5581 3.1740 0.3119
-1.7255 0.8889 3.5984
12.5576 12.2310 5.3227
Ag Se Ge
4 5 2
Direct
0.6839 0.6839 0.9484
0.5830 0.5830 0.2511
0.3161 0.3161 0.0516
0.4170 0.4170 0.7489
0.3697 0.3697 0.8909
0.2243 0.2243 0.3270
0.6303 0.6303 0.1091
0.5000 0.5000 0.5000
0.7757 0.7757 0.6730
0.1371 0.1371 0.5887
0.8629 0.8629 0.4113
```

Summary:
Calculated total energy ... -3.5152 eV/atom
Energy relative to the elements, uncorrected ... -58 kJ/mol of formula units
Space-group type ... No. 166
Total magnetic moment ... 0.0 μB/cell



Computed, not measured: La5SmHg3 after structural relaxation at the GGA-PBE level of DFT.

```
La5SmHg3
1.0
-0.6363 6.2724 3.3678
-5.8714 3.0780 -6.8420
-3.5207 -4.4626 7.6463
La Hg Sm
10 6 2
Direct
0.7500 0.0000 0.3374
0.5000 0.3333 0.6667
0.2500 0.0000 0.6626
0.7500 0.6626 0.6626
0.2500 0.6626 0.0000
0.5000 0.6667 0.3333
0.2500 0.3374 0.3374
0.0000 0.3333 0.6667
0.0000 0.6667 0.3333
0.7500 0.3374 0.0000
0.2500 0.0000 0.3250
0.7500 0.0000 0.6750
0.2500 0.3251 0.0000
0.7500 0.3251 0.3250
0.2500 0.6749 0.6750
0.7500 0.6749 0.0000
0.5000 0.0000 0.0000
0.0000 0.0000 0.0000
```

Summary:
Calculated total energy ... -3.6580 eV/atom
ΔE_f ... -2.66 eV per formula unit
Space-group type ... No. 193
Total magnetic moment ... 0.0 μB/cell



Computed, not measured: CaScInAu after structural relaxation at the GGA-PBE level of DFT.

```
CaScInAu
1.0
5.0980 0.0000 0.0000
2.5490 4.4150 0.0000
2.5490 1.4717 4.1625
Au Ca Sc In
1 1 1 1
Direct
0.5000 0.5000 0.5000
0.7500 0.7500 0.7500
0.2500 0.2500 0.2500
0.0000 0.0000 0.0000
```

Summary:
Calculated total energy ... -4.1243 eV/atom
ΔE_f ... -2.15 eV per formula unit
Space-group type ... No. 216
Total magnetic moment ... 0.0 μB/cell



Computed, not measured: NaPr3Pa2N6 after structural relaxation at the GGA-PBE level of DFT.

```
NaPr3Pa2N6
1.0
3.6317 0.0000 0.0000
0.0000 7.2784 0.2236
-1.8159 -2.1355 7.3992
Pr N Na Pa
3 6 1 2
Direct
0.8388 0.1592 0.6776
0.5000 0.5000 0.0000
0.1612 0.8408 0.3224
0.3271 0.8855 0.6542
0.3240 0.4351 0.6479
0.9797 0.7221 0.9594
0.6729 0.1145 0.3458
0.0203 0.2779 0.0406
0.6760 0.5649 0.3521
0.5000 0.0000 0.0000
0.8358 0.6751 0.6715
0.1642 0.3249 0.3285
```

Summary:
Calculated total energy ... -8.3534 eV/atom
Energy relative to the elements, uncorrected ... -1509 kJ/mol of formula units
Space-group type ... No. 12
Total magnetic moment ... 0.0 μB/cell



Computed, not measured: BePPb2 after structural relaxation at the GGA-PBE level of DFT.

```
BePPb2
1.0
6.0881 0.0000 0.0000
0.0000 6.0881 0.0000
3.0441 3.0441 5.8904
Pb P Be
4 2 2
Direct
0.8750 0.8479 0.7500
0.1521 0.6250 0.2500
0.3750 0.4021 0.7500
0.5979 0.1250 0.2500
0.0000 0.0000 0.0000
0.7500 0.2500 0.5000
0.5000 0.5000 0.0000
0.2500 0.7500 0.5000
```

Summary:
Calculated total energy ... -3.7134 eV/atom
ΔE_f ... 1.70 eV per formula unit
Energy relative to the lowest polymorph listed for this composition ... 436 meV per atom
Space-group type ... No. 122
Total magnetic moment ... 0.0 μB/cell



Computed, not measured: Cd5Cu after structural relaxation at the GGA-PBE level of DFT.

```
Cd5Cu
1.0
-6.1917 2.0141 -0.5592
4.2835 -1.7293 4.6226
1.3462 4.2318 0.3356
Cd Cu
5 1
Direct
0.4723 0.5277 0.5000
0.8141 0.1859 0.5000
0.3123 0.6877 0.0000
0.1305 0.8695 0.5000
0.6323 0.3677 0.0000
0.9718 0.0282 0.0000
```

Summary:
Calculated total energy ... -1.3716 eV/atom
ΔE_f ... 0.44 eV per formula unit
Energy relative to the lowest polymorph listed for this composition ... 48 meV per atom
Space-group type ... No. 38
Total magnetic moment ... 0.0 μB/cell



Computed, not measured: SmYTmCd after structural relaxation at the GGA-PBE level of DFT.

```
SmYTmCd
1.0
-0.7210 -4.8854 -2.3416
4.0908 -2.3304 -2.7757
2.5211 -4.4030 2.0317
Sm Cd Y Tm
1 1 1 1
Direct
0.0000 0.0000 0.0000
0.7500 0.7500 0.7500
0.5000 0.5000 0.5000
0.2500 0.2500 0.2500
```

Summary:
Calculated total energy ... -4.1837 eV/atom
ΔE_f ... -0.17 eV per formula unit
Energy relative to the lowest polymorph listed for this composition ... 114 meV per atom
Space-group type ... No. 216
Total magnetic moment ... 0.0 μB/cell



Computed, not measured: TiCo4Hg after structural relaxation at the GGA-PBE level of DFT.

```
TiCo4Hg
1.0
-0.2774 -3.3401 3.4509
2.3617 -4.1628 -0.4862
3.8284 -0.9302 2.7605
Co Hg Ti
4 1 1
Direct
0.6247 0.6247 0.1259
0.1259 0.6247 0.6247
0.6247 0.1259 0.6247
0.6247 0.6247 0.6247
0.0000 0.0000 0.0000
0.2500 0.2500 0.2500
```

Summary:
Calculated total energy ... -6.1375 eV/atom
ΔE_f ... -0.20 eV per formula unit
Space-group type ... No. 216
Total magnetic moment ... 4.3 μB/cell



Computed, not measured: NpBeSi2Rh after structural relaxation at the GGA-PBE level of DFT.

```
NpBeSi2Rh
1.0
-3.0325 -2.1734 -1.1078
2.3084 -3.1281 -0.1819
-0.6750 1.6007 5.5438
Si Np Be Rh
2 1 1 1
Direct
0.6159 0.6159 0.2319
0.3841 0.3841 0.7681
0.0000 0.0000 0.0000
0.2500 0.7500 0.5000
0.7500 0.2500 0.5000
```

Summary:
Calculated total energy ... -7.4570 eV/atom
Energy relative to the elements, uncorrected ... -234 kJ/mol of formula units
Space-group type ... No. 119
Total magnetic moment ... 3.5 μB/cell



Computed, not measured: Hf2AlPdN after structural relaxation at the GGA-PBE level of DFT.

```
Hf2AlPdN
1.0
-2.6086 -1.4257 1.9624
0.1521 -2.9723 -1.9572
8.3611 -4.6611 7.7284
N Pd Hf Al
2 2 4 2
Direct
0.5000 0.0000 0.0861
0.0000 0.5000 0.9139
0.5000 0.0000 0.6535
0.0000 0.5000 0.3465
0.5000 0.0000 0.2561
0.5000 0.0000 0.9119
0.0000 0.5000 0.0881
0.0000 0.5000 0.7439
0.5000 0.5000 0.5000
0.0000 0.0000 0.5000
```

Summary:
Calculated total energy ... -8.3280 eV/atom
Energy relative to the elements, uncorrected ... -432 kJ/mol of formula units
Space-group type ... No. 129
Total magnetic moment ... 0.0 μB/cell



Calculated DOS at the Fermi energy, 3.95 11.06 5.42 11.30 3.34 4.30 1.86 1.07 5.20 8.37 9.31 3.33 states/eV/f.u. (same order as the records).